[1]
LaSm2Ho7 PBE optimized geometry; electronic total energy = -3.953 eV per atom; D(E_F) = 14.41 states/eV/f.u.
1.0
5.552 0.000 0.000
0.000 9.263 -0.615
0.000 -4.728 7.989
Sm Ho La
2 7 1
direct
0.500 0.297 0.703 Sm
0.500 0.703 0.297 Sm
0.000 0.214 0.786 Ho
0.500 0.290 0.063 Ho
0.500 0.063 0.290 Ho
0.500 0.500 0.500 Ho
0.500 0.710 0.937 Ho
0.500 0.937 0.710 Ho
0.000 0.786 0.214 Ho
0.000 0.000 0.000 La

---

[2]
CaLaZr3 PBE optimized geometry; electronic total energy = -5.566 eV per atom; D(E_F) = 4.00 states/eV/f.u.
1.0
5.282 0.000 0.000
0.000 5.282 0.000
0.000 0.000 5.282
Zr La Ca
3 1 1
direct
0.000 0.000 0.500 Zr
0.000 0.500 0.000 Zr
0.500 0.000 0.000 Zr
0.000 0.000 0.000 La
0.500 0.500 0.500 Ca

---

Number 1: calculated formation energy 6.881 eV/f.u.. Number 2: calculated formation energy 4.741 eV/f.u..